Material: NaAgB2Pd
Method: DFT, GGA-PBEsol
State: optimized geometry

Results
- Formation energy: 1.26 eV per atom
- Symmetry: P4/mmm

Lattice parameters (Å, degrees): 4.066 4.066 5.159 90.00 90.00 90.00
Sites, in units of the cell vectors:
Ag 0.000 0.000 0.000
B 0.500 0.000 0.000
B 0.000 0.500 0.000
Pd 0.000 0.000 0.500
Na 0.500 0.500 0.500


Material: SrY2Pb
Method: DFT, GGA-PBEsol
State: optimized geometry

Results
- Formation energy: -0.05 eV per atom
- Symmetry: R-3m

Lattice parameters (Å, degrees): 3.670 3.670 11.573 80.88 80.88 60.00
Sites, in units of the cell vectors:
Y 0.239 0.239 0.284
Sr 0.000 0.000 0.000
Pb 0.500 0.500 0.500
Y 0.761 0.761 0.716


Material: K2LiC2
Method: DFT, GGA-PBEsol
State: optimized geometry

Results
- Formation energy: 0.59 eV per atom
- Symmetry: I4/mmm

Lattice parameters (Å, degrees): 5.064 5.064 5.064 108.42 108.42 111.59
Sites, in units of the cell vectors:
C 0.614 0.614 0.000
K 0.750 0.250 0.500
Li 0.000 0.000 0.000
K 0.250 0.750 0.500
C 0.386 0.386 0.000


Material: Al2Ni3
Method: DFT, GGA-PBEsol
State: optimized geometry

Results
- Formation energy: -0.53 eV per atom
- Symmetry: P4/mmm

Lattice parameters (Å, degrees): 2.876 2.876 13.792 90.00 90.00 90.00
Last column: magnetic moment on the atom in μB.
Sites, in units of the cell vectors:
Ni 0.000 0.000 0.295  0.00
Ni 0.000 0.000 0.095  0.00
Ni 0.500 0.500 0.000  0.01
Al 0.500 0.500 0.810  0.17
Ni 0.000 0.000 0.705  0.01
Al 0.500 0.500 0.603  0.00
Al 0.500 0.500 0.397  0.00
Ni 0.000 0.000 0.905  0.00
Al 0.500 0.500 0.190  0.00
Ni 0.000 0.000 0.500  0.00


Material: ZrCdTc2
Method: DFT, GGA-PBEsol
State: optimized geometry

Results
- Formation energy: 0.25 eV per atom
- Symmetry: F-43m

Lattice parameters (Å, degrees): 4.558 4.558 4.558 60.00 60.00 60.00
Sites, in units of the cell vectors:
Tc 0.750 0.750 0.750
Zr 0.250 0.250 0.250
Tc 0.000 0.000 0.000
Cd 0.500 0.500 0.500


Material: NaSrPCl2
Method: DFT, GGA-PBEsol
State: optimized geometry

Results
- Raw formation energy: -85.1 kJ per mole of atoms
- Symmetry: P4/mmm

Lattice parameters (Å, degrees): 5.545 5.545 5.971 90.00 90.00 90.00
Last column: magnetic moment on the atom in μB.
Sites, in units of the cell vectors:
Na 0.500 0.500 0.500  0.00
Sr 0.000 0.000 0.000  0.01
P 0.000 0.000 0.500  0.72
Cl 0.000 0.500 0.000  0.04
Cl 0.500 0.000 0.000  0.04


Material: Li3Ni3TeO8
Method: DFT, GGA-PBEsol
State: optimized geometry

Results
- Raw formation energy: -118.4 kJ per mole of atoms
- Symmetry: R-3m

Lattice parameters (Å, degrees): 5.910 5.910 5.919 60.05 60.05 60.00
Last column: magnetic moment on the atom in μB.
Sites, in units of the cell vectors:
O 0.267 0.267 0.200  0.11
O 0.237 0.768 0.228  0.12
O 0.763 0.232 0.772  0.12
O 0.733 0.733 0.800  0.11
O 0.232 0.763 0.772  0.12
O 0.768 0.237 0.228  0.12
Li 0.000 0.000 0.500  0.01
Ni 0.500 0.500 0.000  1.27
Ni 0.500 0.000 0.000  1.27
Li 0.500 0.000 0.500  0.01
O 0.232 0.232 0.772  0.12
Te 0.000 0.000 0.000  -0.01
O 0.768 0.768 0.228  0.12
Ni 0.000 0.500 0.000  1.27
Li 0.000 0.500 0.500  0.01


Material: MgZrAl
Method: DFT, GGA-PBEsol
State: optimized geometry

Results
- Formation energy: 0.45 eV per atom
- Symmetry: F-43m

Lattice parameters (Å, degrees): 4.523 4.523 4.523 60.00 60.00 60.00
Sites, in units of the cell vectors:
Al 0.500 0.500 0.500
Mg 0.250 0.250 0.250
Zr 0.000 0.000 0.000


Material: RbZn2HBr
Method: DFT, GGA-PBEsol
State: optimized geometry

Results
- Symmetry: P4/mmm

Lattice parameters (Å, degrees): 4.379 4.379 5.827 90.00 90.00 90.00
Sites, in units of the cell vectors:
Zn 0.000 0.500 0.000
Zn 0.500 0.000 0.000
Rb 0.000 0.000 0.500
Br 0.500 0.500 0.500
H 0.000 0.000 0.000


Material: TlIr2W
Method: DFT, GGA-PBEsol
State: optimized geometry

Results
- Formation energy: 0.39 eV per atom
- Energy above the most stable polymorph in this dataset: 25 meV/atom
- Symmetry: Cmmm

Lattice parameters (Å, degrees): 2.870 4.809 4.809 105.62 90.00 90.00
Sites, in units of the cell vectors:
Ir 0.000 0.000 0.500
Ir 0.000 0.500 0.000
Tl 0.500 0.000 0.000
W 0.500 0.500 0.500


Material: Mg2ScSi
Method: DFT, GGA-PBEsol
State: optimized geometry

Results
- Raw formation energy: -15.5 kJ per mole of atoms
- Symmetry: P4mm

Lattice parameters (Å, degrees): 3.154 3.154 8.059 90.00 90.00 90.00
Sites, in units of the cell vectors:
Mg 0.000 0.000 0.964
Mg 0.500 0.500 0.247
Sc 0.000 0.000 0.542
Si 0.500 0.500 0.748


Material: Zn2WI
Method: DFT, GGA-PBEsol
State: optimized geometry

Results
- Raw formation energy: 129.7 kJ per mole of atoms
- Symmetry: Fm-3m

Lattice parameters (Å, degrees): 4.692 4.692 4.692 60.00 60.00 60.00
Last column: magnetic moment on the atom in μB.
Sites, in units of the cell vectors:
I 0.000 0.000 0.000  0.01
Zn 0.250 0.250 0.250  0.01
Zn 0.750 0.750 0.750  0.01
W 0.500 0.500 0.500  1.14


Material: MgTeW3
Method: DFT, GGA-PBEsol
State: optimized geometry

Results
- Raw formation energy: 255.4 kJ per mole of atoms
- Symmetry: Pm-3m

Lattice parameters (Å, degrees): 4.609 4.609 4.609 90.00 90.00 90.00
Sites, in units of the cell vectors:
W 0.500 0.000 0.000
W 0.000 0.000 0.500
W 0.000 0.500 0.000
Mg 0.000 0.000 0.000
Te 0.500 0.500 0.500


Material: MgCoN2O
Method: DFT, GGA-PBEsol
State: optimized geometry

Results
- Raw formation energy: 131.9 kJ per mole of atoms
- Symmetry: P4/mmm

Lattice parameters (Å, degrees): 3.709 3.936 3.936 90.00 90.00 90.00
Last column: magnetic moment on the atom in μB.
Sites, in units of the cell vectors:
N 0.000 0.500 0.000  0.95
Co 0.500 0.500 0.500  2.52
Mg 0.000 0.000 0.000  0.04
O 0.500 0.000 0.000  0.70
N 0.000 0.000 0.500  0.95


Material: Ba2YMn3O7
Method: DFT, GGA-PBEsol
State: optimized geometry

Results
- Raw formation energy: -221.1 kJ per mole of atoms
- Energy above the most stable polymorph in this dataset: 4 meV/atom
- Symmetry: Pmmm

Lattice parameters (Å, degrees): 3.876 3.899 11.431 90.00 90.00 90.00
Last column: magnetic moment on the atom in μB.
Sites, in units of the cell vectors:
Ba 0.000 0.500 0.677  -0.01
O 0.500 0.500 0.876  0.07
O 0.500 0.500 0.124  0.07
Mn 0.500 0.000 0.500  3.22
Mn 0.500 0.000 0.149  3.69
O 0.500 0.000 0.332  0.11
O 0.500 0.000 0.668  0.11
O 0.500 0.500 0.500  0.06
O 0.000 0.000 0.125  0.07
Y 0.000 0.500 0.000  -0.01
O 0.000 0.000 0.875  0.07
Ba 0.000 0.500 0.323  -0.01
Mn 0.500 0.000 0.851  3.69


Material: AlPIO2
Method: DFT, GGA-PBEsol
State: optimized geometry

Results
- Raw formation energy: -56.5 kJ per mole of atoms
- Symmetry: P4/mmm

Lattice parameters (Å, degrees): 3.651 3.651 6.775 90.00 90.00 90.00
Last column: magnetic moment on the atom in μB.
Sites, in units of the cell vectors:
P 0.500 0.500 0.500  0.01
O 0.500 0.000 0.000  0.35
I 0.000 0.000 0.500  0.00
O 0.000 0.500 0.000  0.35
Al 0.000 0.000 0.000  -0.01


Material: Li5Ni9P16O56
Method: DFT, GGA-PBEsol
State: optimized geometry

Results
- Raw formation energy: -170.5 kJ per mole of atoms
- Symmetry: P1

Lattice parameters (Å, degrees): 9.297 10.470 12.370 115.74 96.23 108.05
Last column: magnetic moment on the atom in μB.
Sites, in units of the cell vectors:
O 0.324 0.973 0.528  0.03
O 0.572 0.432 0.596  0.04
O 0.290 0.868 0.229  0.00
O 0.921 0.345 0.160  0.01
P 0.038 0.723 0.760  0.01
O 0.807 0.386 0.533  0.04
P 0.755 0.067 0.855  0.00
Ni 0.714 0.306 0.083  0.82
O 0.695 0.109 0.973  0.01
O 0.425 0.577 0.398  0.04
O 0.947 0.106 0.157  0.02
O 0.413 0.410 0.148  0.01
O 0.337 0.118 0.221  0.00
O 0.111 0.697 0.652  0.03
P 0.389 0.306 0.010  0.01
P 0.877 0.813 0.522  0.01
O 0.086 0.649 0.833  0.01
O 0.185 0.620 0.453  0.04
P 0.246 0.930 0.146  0.00
P 0.795 0.599 0.129  0.00
P 0.467 0.784 0.728  0.01
O 0.087 0.233 0.793  0.02
P 0.746 0.449 0.646  0.00
Ni 0.785 0.189 0.417  0.47
O 0.749 0.392 0.735  -0.01
O 0.530 0.271 0.973  0.01
O 0.579 0.147 0.344  0.01
O 0.166 0.514 0.980  0.07
Ni 0.207 0.814 0.579  0.46
O 0.653 0.880 0.775  0.00
O 0.924 0.080 0.901  0.04
O 0.776 0.986 0.294  0.02
P 0.615 0.688 0.985  0.01
O 0.904 0.767 0.218  0.03
O 0.017 0.777 0.484  -0.01
O 0.887 0.301 0.340  0.03
O 0.237 0.592 0.245  0.00
Ni 0.286 0.688 0.915  0.80
O 0.061 0.891 0.845  0.01
O 0.155 0.368 0.291  0.01
O 0.586 0.594 0.845  0.00
O 0.404 0.795 0.836  0.08
O 0.901 0.915 0.660  0.01
O 0.262 0.480 0.796  0.04
O 0.850 0.904 0.448  0.00
Li 0.365 0.693 0.167  0.00
O 0.472 0.720 0.025  0.01
O 0.545 0.387 0.354  0.06
O 0.975 0.229 0.514  -0.01
O 0.653 0.025 0.458  0.03
Li 0.972 0.971 0.992  0.00
O 0.416 0.257 0.706  0.06
O 0.771 0.828 0.036  0.01
Li 0.054 0.484 0.098  0.00
O 0.305 0.883 0.029  0.01
Ni 0.418 0.450 0.698  1.16
Ni 0.498 0.505 0.499  0.52
P 0.250 0.551 0.346  0.00
O 0.590 0.203 0.162  0.07
O 0.856 0.489 0.040  0.08
O 0.365 0.394 0.934  0.00
O 0.410 0.856 0.655  0.01
O 0.136 0.108 0.565  0.00
O 0.229 0.171 0.963  0.00
Ni 0.073 0.053 0.807  0.46
O 0.581 0.742 0.287  0.06
P 0.706 0.904 0.370  0.01
O 0.072 0.902 0.103  0.04
O 0.222 0.017 0.707  0.03
O 0.443 0.614 0.640  0.06
P 0.966 0.272 0.237  0.01
Li 0.641 0.286 0.806  0.00
O 0.272 0.328 0.533  0.03
Li 0.427 0.991 0.399  0.00
P 0.285 0.098 0.629  0.01
O 0.849 0.632 0.709  0.01
Ni 0.926 0.944 0.198  0.63
Ni 0.578 0.551 0.299  1.17
P 0.523 0.217 0.269  0.01
O 0.643 0.592 0.051  0.00
P 0.115 0.189 0.483  0.01
O 0.722 0.671 0.467  0.04
O 0.733 0.145 0.784  0.00
O 0.096 0.080 0.346  0.01
O 0.730 0.514 0.204  0.03
P 0.207 0.398 0.875  0.00


Material: ZnGaAs2
Method: DFT, GGA-PBEsol
State: optimized geometry

Results
- Formation energy: -0.11 eV per atom
- Symmetry: I-42d

Lattice parameters (Å, degrees): 5.655 5.655 6.846 114.40 114.40 90.00
Sites, in units of the cell vectors:
Zn 0.500 0.500 0.000
As 0.625 0.622 0.750
Ga 0.000 0.000 0.000
Ga 0.250 0.750 0.500
As 0.125 0.128 0.750
Zn 0.750 0.250 0.500
As 0.872 0.375 0.250
As 0.378 0.875 0.250


Material: Zr2SbPb
Method: DFT, GGA-PBEsol
State: optimized geometry

Results
- Raw formation energy: -37.2 kJ per mole of atoms
- Energy above the most stable polymorph in this dataset: 0 meV/atom
- Symmetry: Immm

Lattice parameters (Å, degrees): 4.202 5.262 5.304 119.73 113.33 90.00
Sites, in units of the cell vectors:
Zr 0.259 0.259 0.518
Sb 0.000 0.500 0.000
Pb 0.500 0.000 0.000
Zr 0.741 0.741 0.482


Material: Ba4MnAu
Method: DFT, GGA-PBEsol
State: optimized geometry

Results
- Formation energy: 0.82 eV per atom
- Symmetry: F-43m

Lattice parameters (Å, degrees): 6.884 6.884 6.884 60.00 60.00 60.00
Last column: magnetic moment on the atom in μB.
Sites, in units of the cell vectors:
Mn 0.750 0.750 0.750  4.24
Ba 0.374 0.374 0.374  -0.17
Ba 0.374 0.877 0.374  -0.17
Ba 0.374 0.374 0.877  -0.17
Ba 0.877 0.374 0.374  -0.17
Au 0.000 0.000 0.000  -0.01


Calculated total energy
In order: -18.41, -19.70, -20.57, -58.65, -31.83, -17.46, -88.30, -13.56, -9.74, -34.51, -16.43, -13.36, -33.43, -24.92, -106.93, -25.07, -603.84, -31.14, -28.28, -17.37
Unit: eV per cell
Fermi-level density of states
In order: 1.4, 5.1, 2.6, 7.6, 3.5, 2.4, 4.1, 1.8, 1.1, 2.2, 2.2, 3.9, 7.0, 6.4, 2.1, 2.6, 13.7, 4.3, 2.0, 8.4
Unit: states/eV/cell